Entry 1:
The following is a SCAN calculation of a PBEsol-optimized structure of In2BiCBr, from the Alexandria database.

Computed properties:
Total DFT energy (no corrections) (eV per atom): -33.979
Formation energy without anion corrections (eV/atom): 1.003

```
In2BiCBr
1.0
6.154 0.000 0.000
0.000 6.154 0.000
0.000 0.000 4.343
In Bi C Br
2 1 1 1
Direct
0.000 0.500 0.000 In
0.500 0.000 0.000 In
0.000 0.000 0.000 Bi
0.000 0.000 0.500 C
0.500 0.500 0.500 Br
```

Entry 2:
The following is a SCAN calculation of a PBEsol-optimized structure of BiCS2Br, from the Alexandria database.

Computed properties:
Total DFT energy (no corrections) (eV per atom): -24.377
Formation energy without anion corrections (eV/atom): 1.102

```
BiCS2Br
1.0
4.190 0.000 0.000
0.000 4.190 0.000
0.000 0.000 5.198
Bi C S Br
1 1 2 1
Direct
0.000 0.000 0.000 Bi
0.000 0.000 0.500 C
0.000 0.500 0.500 S
0.500 0.000 0.500 S
0.500 0.500 0.000 Br
```

> What is the total DFT energy (no corrections) in the second record?

-24.377 eV per atom